No. 1
Computed, not measured: a relaxed SbPtI2F crystal at the GGA-PBEsol level of DFT.

Calculated values
- Formation energy without anion corrections: 1.81 eV/f.u.
- Density: 7.88 Mg/m³
- Crystal system: tetragonal
- Total energy: -3.034 eV/atom
- Space-group type: P4/mmm (123)
- Energy above the lowest structure with this stoichiometry: 0.253 eV/atom

a b c (Å): 4.132 5.483 5.483
angles (deg): 90.00 90.00 90.00
Positions (direct):
F 0.000 0.000 0.000
I 0.000 0.000 0.500
I 0.000 0.500 0.000
Pt 0.500 0.500 0.500
Sb 0.500 0.000 0.000

=====

No. 2
Computed, not measured: a relaxed CaNbH3 crystal at the GGA-PBEsol level of DFT.

Calculated values
- Density: 3.95 Mg/m³
- Crystal system: cubic
- Total energy: -3.959 eV/atom
- Space-group type: Pm-3m (221)

a b c (Å): 3.851 3.851 3.851
angles (deg): 90.00 90.00 90.00
Positions (direct):
H 0.000 0.500 0.000
H 0.000 0.000 0.500
H 0.500 0.000 0.000
Nb 0.500 0.500 0.500
Ca 0.000 0.000 0.000

=====

No. 3
Computed, not measured: a relaxed Ta2PbAu crystal at the GGA-PBEsol level of DFT.

Calculated values
- Density: 16.73 Mg/m³
- Crystal system: trigonal
- Formation enthalpy at 0 K: 0.378 eV/atom
- Total energy: -7.878 eV/atom
- Space-group type: R-3m (166)

a b c (Å): 3.019 3.019 9.788
angles (deg): 81.13 81.13 60.00
Positions (direct):
Pb 0.000 0.000 0.000
Au 0.500 0.500 0.500
Ta 0.245 0.245 0.264
Ta 0.755 0.755 0.736

=====

No. 4
Computed, not measured: a relaxed AsPbBr crystal at the GGA-PBEsol level of DFT.

Calculated values
- Formation energy without anion corrections: 1.64 eV/f.u.
- Density: 6.93 Mg/m³
- Crystal system: cubic
- Total energy: -3.110 eV/atom
- Space-group type: F-43m (216)
- Energy above the lowest structure with this stoichiometry: 0.525 eV/atom

a b c (Å): 4.969 4.969 4.969
angles (deg): 60.00 60.00 60.00
Positions (direct):
As 0.500 0.500 0.500
Br 0.250 0.250 0.250
Pb 0.000 0.000 0.000

=====

No. 5
Computed, not measured: a relaxed TcMo2Os crystal at the GGA-PBEsol level of DFT.

Calculated values
- Density: 13.58 Mg/m³
- Crystal system: monoclinic
- Formation enthalpy at 0 K: 0.163 eV/atom
- Total energy: -11.592 eV/atom
- Space-group type: C2/m (12)
- Energy above the lowest structure with this stoichiometry: 0.000 eV/atom

a b c (Å): 2.751 4.756 4.760
angles (deg): 99.55 90.00 106.81
Positions (direct):
Tc 0.500 0.000 0.000
Mo 0.746 0.493 0.748
Mo 0.254 0.507 0.252
Os 0.000 0.000 0.500

=====

No. 6
Computed, not measured: a relaxed K2LiErCl6 crystal at the GGA-PBEsol level of DFT.

Calculated values
- Formation energy without anion corrections: -20.71 eV/f.u.
- Density: 2.97 Mg/m³
- Crystal system: cubic
- Total energy: -4.192 eV/atom
- Space-group type: Fm-3m (225)

a b c (Å): 7.161 7.161 7.161
angles (deg): 60.00 60.00 60.00
Positions (direct):
Cl 0.247 0.753 0.753
Cl 0.247 0.753 0.247
Cl 0.753 0.753 0.247
Cl 0.753 0.247 0.753
Cl 0.753 0.247 0.247
Cl 0.247 0.247 0.753
Li 0.000 0.000 0.000
K 0.250 0.250 0.250
K 0.750 0.750 0.750
Er 0.500 0.500 0.500

=====

No. 7
Computed, not measured: a relaxed CdTc3 crystal at the GGA-PBEsol level of DFT.

Calculated values
- Density: 11.29 Mg/m³
- Crystal system: tetragonal
- Formation enthalpy at 0 K: 0.485 eV/atom
- Total energy: -8.264 eV/atom
- Space-group type: I4/mmm (139)
- Energy above the lowest structure with this stoichiometry: 0.281 eV/atom

a b c (Å): 3.852 3.852 4.864
angles (deg): 113.32 113.32 90.00
Positions (direct):
Tc 0.750 0.250 0.500
Tc 0.250 0.750 0.500
Tc 0.500 0.500 0.000
Cd 0.000 0.000 0.000

=====

No. 8
Computed, not measured: a relaxed TcW2Cl crystal at the GGA-PBEsol level of DFT.

Calculated values
- Formation energy without anion corrections: 2.46 eV/f.u.
- Density: 13.75 Mg/m³
- Crystal system: monoclinic
- Total energy: -9.607 eV/atom
- Space-group type: P2/m (10)
- Energy above the lowest structure with this stoichiometry: 0.215 eV/atom

a b c (Å): 2.822 4.136 5.376
angles (deg): 90.00 105.34 90.00
Positions (direct):
Cl 0.500 0.500 0.000
W 0.556 0.000 0.743
W 0.444 0.000 0.257
Tc 0.000 0.500 0.500

=====

No. 9
Computed, not measured: a relaxed Sr2AgPt crystal at the GGA-PBEsol level of DFT.

Calculated values
- Density: 7.83 Mg/m³
- Crystal system: cubic
- Formation enthalpy at 0 K: -0.452 eV/atom
- Total energy: -3.941 eV/atom
- Space-group type: Fm-3m (225)
- Energy above the lowest structure with this stoichiometry: 0.058 eV/atom

a b c (Å): 5.235 5.235 5.235
angles (deg): 60.00 60.00 60.00
Positions (direct):
Pt 0.500 0.500 0.500
Sr 0.250 0.250 0.250
Sr 0.750 0.750 0.750
Ag 0.000 0.000 0.000

=====

No. 10
Computed, not measured: a relaxed ScTe2Ir crystal at the GGA-PBEsol level of DFT.

Calculated values
- Formation energy without anion corrections: -2.42 eV/f.u.
- Density: 8.57 Mg/m³
- Crystal system: orthorhombic
- Total energy: -6.476 eV/atom
- Space-group type: Amm2 (38)
- Energy above the lowest structure with this stoichiometry: 0.000 eV/atom

a b c (Å): 3.195 4.041 7.559
angles (deg): 90.00 102.15 90.00
Positions (direct):
Sc 0.284 0.500 0.693
Ir 0.719 0.000 0.562
Te 0.896 0.000 0.919
Te 0.601 0.500 0.326

=====

No. 11
Computed, not measured: a relaxed ReNiAu2 crystal at the GGA-PBEsol level of DFT.

Calculated values
- Density: 17.89 Mg/m³
- Crystal system: trigonal
- Formation enthalpy at 0 K: 0.179 eV/atom
- Total energy: -6.656 eV/atom
- Space-group type: R3m (160)

a b c (Å): 2.758 2.758 9.140
angles (deg): 81.32 81.32 60.00
Positions (direct):
Au 0.757 0.757 0.729
Au 0.997 0.997 0.009
Ni 0.504 0.504 0.488
Re 0.242 0.242 0.274

=====

No. 12
Computed, not measured: a relaxed SrTc2As crystal at the GGA-PBEsol level of DFT.

Calculated values
- Density: 7.68 Mg/m³
- Crystal system: orthorhombic
- Formation enthalpy at 0 K: 0.521 eV/atom
- Total energy: -6.849 eV/atom
- Space-group type: Imm2 (44)

a b c (Å): 3.100 5.301 5.629
angles (deg): 118.09 105.98 90.00
Positions (direct):
Tc 0.742 0.242 0.485
Tc 0.048 0.048 0.096
Sr 0.246 0.746 0.493
As 0.464 0.464 0.927

=====

Question: density of number 7 (CdTc3)?
Answer: 11.29 Mg/m³

=====

Question: Which of these has the highest density?
Answer: ReNiAu2

=====

Question: Number 12 is which compound?
Answer: SrTc2As